A geometry-optimized Sm2DyErSe4 structure. Source: Alexandria via LeMat-Bulk, functional PBE.

Properties
- Total DFT energy (no corrections): -0.429 Ry per atom

a b c (Å): 4.055 7.071 7.258
angles (deg): 108.75 90.00 90.00
Positions (direct):
Er 0.000 0.000 0.000
Sm 0.500 0.000 0.500
Sm 0.000 0.500 0.500
Se 0.000 0.252 0.761
Se 0.500 0.244 0.238
Se 0.000 0.748 0.239
Se 0.500 0.756 0.762
Dy 0.500 0.500 0.000